No. 1
Material: TbHo4Th
Method: DFT, PBE-GGA
State: optimized geometry

POSCAR file:
```
TbHo4Th
1.0
4.381 -7.231 0.000
4.381 7.231 0.000
-2.310 0.000 6.188
Tb Ho Th
2 8 2
direct
0.089 0.911 0.750
0.911 0.089 0.250
0.075 0.328 0.875
0.214 0.601 0.465
0.328 0.075 0.375
0.399 0.786 0.035
0.601 0.214 0.965
0.672 0.925 0.625
0.786 0.399 0.535
0.925 0.672 0.125
0.500 0.500 0.250
0.500 0.500 0.750
```

VASP energy = -58.74 eV for the cell shown
D(E_F) = 19.6 states/eV/cell
E_form = 95 kJ/mol of formula units
Offset from the most stable computed form = 142 meV/atom



No. 2
Material: Tb3Ho7Th2
Method: DFT, PBE-GGA
State: optimized geometry

POSCAR file:
```
Tb3Ho7Th2
1.0
3.615 0.000 0.000
0.000 5.570 0.000
-1.818 0.000 20.413
Tb Ho Th
3 7 2
direct
0.000 0.000 0.000
0.329 0.500 0.660
0.671 0.500 0.340
0.085 0.500 0.168
0.214 0.000 0.429
0.433 0.000 0.868
0.500 0.500 0.000
0.567 0.000 0.132
0.786 0.000 0.571
0.915 0.500 0.832
0.138 0.000 0.275
0.862 0.000 0.725
```

VASP energy = -57.34 eV for the cell shown
D(E_F) = 21.4 states/eV/cell
E_form = 331 kJ/mol of formula units



Copy entry 1 word for word.
Material: TbHo4Th
Method: DFT, PBE-GGA
State: optimized geometry

POSCAR file:
```
TbHo4Th
1.0
4.381 -7.231 0.000
4.381 7.231 0.000
-2.310 0.000 6.188
Tb Ho Th
2 8 2
direct
0.089 0.911 0.750
0.911 0.089 0.250
0.075 0.328 0.875
0.214 0.601 0.465
0.328 0.075 0.375
0.399 0.786 0.035
0.601 0.214 0.965
0.672 0.925 0.625
0.786 0.399 0.535
0.925 0.672 0.125
0.500 0.500 0.250
0.500 0.500 0.750
```

VASP energy = -58.74 eV for the cell shown
D(E_F) = 19.6 states/eV/cell
E_form = 95 kJ/mol of formula units
Offset from the most stable computed form = 142 meV/atom



Q: Among the records above, which one has the highest E_form?
A: Tb3Ho7Th2



Q: The lowest E_form belongs to which entry?
A: TbHo4Th



Q: The lowest D(E_F) belongs to which entry?
A: TbHo4Th